1.
Mg7Sc2: relaxed, PBE. Values from VASP.

Output
As for the uncorrected energy: -2.64 eV per atom. Its space-group type is No. 162. The energy of formation is 0.1 eV/f.u.

Geometry as Quantum ESPRESSO input:
```
&SYSTEM
  ibrav = 0, nat = 9, ntyp = 2
/
ATOMIC_SPECIES
Sc 44.96 Sc.upf
Mg 24.30 Mg.upf
ATOMIC_POSITIONS crystal
Sc 0.667 0.333 0.000
Sc 0.333 0.667 0.000
Mg 0.331 0.000 0.668
Mg 0.000 0.000 0.000
Mg 0.669 0.669 0.668
Mg 0.000 0.331 0.668
Mg 0.669 0.000 0.332
Mg 0.000 0.669 0.332
Mg 0.331 0.331 0.332
CELL_PARAMETERS angstrom
-5.042 -1.381 1.981
4.607 -1.526 2.775
-0.231 6.635 4.034
```

2.
Pr2YHo4: relaxed, PBE. Values from VASP.

Output
As for the uncorrected energy: -4.65 eV per atom. Its space-group type is No. 74. The energy of formation is 1.8 eV/f.u. The value obtained for the energy above the lowest structure with this stoichiometry is 146 kJ/mol of formula units.

Geometry as Quantum ESPRESSO input:
```
&SYSTEM
  ibrav = 0, nat = 14, ntyp = 3
/
ATOMIC_SPECIES
Ho 164.93 Ho.upf
Pr 140.91 Pr.upf
Y 88.91 Y.upf
ATOMIC_POSITIONS crystal
Ho 0.138 0.853 0.872
Ho 0.785 0.239 0.739
Ho 0.862 0.147 0.128
Ho 0.215 0.761 0.261
Ho 0.763 0.761 0.261
Ho 0.862 0.628 0.647
Ho 0.237 0.239 0.739
Ho 0.138 0.372 0.353
Pr 0.500 0.000 0.000
Pr 0.275 0.975 0.475
Pr 0.725 0.025 0.525
Pr 0.500 0.500 0.500
Y 0.500 0.500 0.000
Y 0.000 0.500 0.000
CELL_PARAMETERS angstrom
6.746 0.000 0.000
3.373 8.338 -1.116
3.373 1.659 8.248
```

3.
TaAg2Pd: relaxed, PBE. Values from VASP.

Output
As for the uncorrected energy: -5.01 eV per atom. Its space-group type is No. 122. The energy of formation is 2.7 eV/f.u. The value obtained for the energy above the lowest structure with this stoichiometry is 145 kJ/mol of formula units.

Geometry as Quantum ESPRESSO input:
```
&SYSTEM
  ibrav = 0, nat = 8, ntyp = 3
/
ATOMIC_SPECIES
Pd 106.42 Pd.upf
Ta 180.95 Ta.upf
Ag 107.87 Ag.upf
ATOMIC_POSITIONS crystal
Pd 0.250 0.750 0.500
Pd 0.500 0.500 0.000
Ta 0.750 0.250 0.500
Ta 0.000 0.000 0.000
Ag 0.375 0.379 0.750
Ag 0.129 0.625 0.250
Ag 0.621 0.125 0.250
Ag 0.875 0.871 0.750
CELL_PARAMETERS angstrom
-3.041 -5.871 -3.503
6.825 -2.833 -1.177
1.748 -5.664 -0.016
```